Record 1
# LiTiZn4 | Alexandria via LeMat-Bulk | GGA-PBE | optimized geometry
data_LiTiZn4
_chemical_formula_sum 'Li1 Ti1 Zn4'
_space_group_name_H-M_alt 'P 1'
_space_group_IT_number 1
_space_group_name_Hall 'P 1'
_cell_length_a 2.740
_cell_length_b 4.360
_cell_length_c 7.579
_cell_angle_alpha 90.00
_cell_angle_beta 89.93
_cell_angle_gamma 90.00
loop_
_atom_site_label
_atom_site_type_symbol
_atom_site_fract_x
_atom_site_fract_y
_atom_site_fract_z
Ti1 Ti 0.500 0.000 0.000
Zn1 Zn 0.996 0.000 0.335
Zn2 Zn 0.001 0.500 0.166
Zn3 Zn 0.999 0.500 0.834
Zn4 Zn 0.004 0.000 0.665
Li1 Li 0.500 0.500 0.500
# SG: P2/m
# formation enthalpy at 0 K: -0.19 eV/atom
# relative energy among the computed polymorphs: 0 meV per atom

=====

Record 2
# Tc2RhO | Alexandria via LeMat-Bulk | GGA-PBE | optimized geometry
data_Tc2RhO
_chemical_formula_sum 'Tc4 Rh2 O2'
_space_group_name_H-M_alt 'P 1'
_space_group_IT_number 1
_space_group_name_Hall 'P 1'
_cell_length_a 4.452
_cell_length_b 4.452
_cell_length_c 7.030
_cell_angle_alpha 71.54
_cell_angle_beta 71.54
_cell_angle_gamma 90.00
loop_
_atom_site_label
_atom_site_type_symbol
_atom_site_fract_x
_atom_site_fract_y
_atom_site_fract_z
Tc1 Tc 0.515 0.125 0.250
Tc2 Tc 0.875 0.765 0.750
Tc3 Tc 0.235 0.625 0.250
Tc4 Tc 0.375 0.485 0.750
Rh1 Rh 0.750 0.250 0.500
Rh2 Rh 0.000 0.000 0.000
O1 O 0.500 0.500 0.000
O2 O 0.250 0.750 0.500
# SG: I-42d
# ΔE_f (raw): 1.103 eV per formula unit

=====

Record 3
# CaGdIn | Alexandria via LeMat-Bulk | GGA-PBE | optimized geometry
data_CaGdIn
_chemical_formula_sum 'Ca1 Gd1 In1'
_space_group_name_H-M_alt 'P 1'
_space_group_IT_number 1
_space_group_name_Hall 'P 1'
_cell_length_a 3.658
_cell_length_b 5.354
_cell_length_c 5.354
_cell_angle_alpha 120.00
_cell_angle_beta 90.00
_cell_angle_gamma 90.00
loop_
_atom_site_label
_atom_site_type_symbol
_atom_site_fract_x
_atom_site_fract_y
_atom_site_fract_z
Gd1 Gd 0.620 0.667 0.333
In1 In 0.333 0.333 0.667
Ca1 Ca 0.048 0.000 0.000
# SG: P3m1
# formation enthalpy at 0 K: -0.21 eV/atom
# relative energy among the computed polymorphs: 73 meV per atom